*i*
Here is a relaxed structure of LaSmScIn from the Alexandria database. Energies are from PBE.

a b c (Å): 5.4976 5.4976 5.4976
angles (deg): 60.00 60.00 60.00
Last column: nearest neighbours and their distance in Å.
Fractional positions:
La1 0.0000 0.0000 0.0000  4 In 3.37, 4 Sc 3.37
Sm1 0.5000 0.5000 0.5000  4 Sc 3.37, 4 In 3.37
Sc1 0.2500 0.2500 0.2500  4 Sm 3.37, 4 La 3.37
In1 0.7500 0.7500 0.7500  4 Sm 3.37, 4 La 3.37

Properties
The total magnetization is 1.20 μB per cell. Its space-group type is F-43m (216).

*ii*
Here is a relaxed structure of LaSmScIn from the Alexandria database. Energies are from PBE.

a b c (Å): 5.4044 5.4044 5.4044
angles (deg): 60.00 60.00 60.00
Last column: nearest neighbours and their distance in Å.
Fractional positions:
La1 0.0000 0.0000 0.0000  4 Sc 3.31, 4 Sm 3.31
Sm1 0.2500 0.2500 0.2500  4 In 3.31, 4 La 3.31
Sc1 0.7500 0.7500 0.7500  4 In 3.31, 4 La 3.31
In1 0.5000 0.5000 0.5000  4 Sc 3.31, 4 Sm 3.31

Properties
The total magnetization is 0.75 μB per cell. Its space-group type is F-43m (216).

Most stable to least stable: *i*, *ii*

*i*
Here is a relaxed structure of La2InSe2 from the Alexandria database. Energies are from PBE.

a b c (Å): 8.5918 8.5918 3.8703
angles (deg): 90.00 90.00 90.00
Last column: nearest neighbours and their distance in Å.
Fractional positions:
La1 0.1594 0.3406 0.0000  6 Se 3.11-3.23, 2 In 3.23
La2 0.3406 0.8406 0.0000  6 Se 3.11-3.23, 2 In 3.23
La3 0.6594 0.1594 0.0000  6 Se 3.11-3.23, 2 In 3.23
La4 0.8406 0.6594 0.0000  6 Se 3.11-3.23, 2 In 3.23
In1 0.0000 0.0000 0.0000  4 La 3.23
In2 0.5000 0.5000 0.0000  4 La 3.23
Se1 0.1405 0.6405 0.5000  6 La 3.11-3.23, 1 Se 3.41
Se2 0.3595 0.1405 0.5000  6 La 3.11-3.23, 1 Se 3.41
Se3 0.6405 0.8595 0.5000  6 La 3.11-3.23, 1 Se 3.41
Se4 0.8595 0.3595 0.5000  6 La 3.11-3.23, 1 Se 3.41

Properties
The total magnetization is 0.00 μB per cell. Its space-group type is P4/mbm (127).

*ii*
Here is a relaxed structure of La2InSe2 from the Alexandria database. Energies are from PBE.

a b c (Å): 7.6955 7.6955 7.6955
angles (deg): 141.73 141.73 55.24
Last column: nearest neighbours and their distance in Å.
Fractional positions:
La1 0.1409 0.1409 0.0000  4 Se 2.93
La2 0.8591 0.8591 0.0000  4 Se 2.93
In1 0.5000 0.5000 0.0000  8 La 4.05, 8 Se 4.24
Se1 0.2500 0.7500 0.5000  4 La 2.93
Se2 0.7500 0.2500 0.5000  4 La 2.93

Properties
The total magnetization is 0.00 μB per cell. Its space-group type is I4/mmm (139).

*iii*
Here is a relaxed structure of La2InSe2 from the Alexandria database. Energies are from PBE.

a b c (Å): 8.4446 8.4446 3.8606
angles (deg): 90.00 90.00 90.00
Last column: nearest neighbours and their distance in Å.
Fractional positions:
La1 0.1600 0.3400 0.0000  6 Se 3.08-3.19
La2 0.3400 0.8400 0.0000  6 Se 3.08-3.19
La3 0.6600 0.1600 0.0000  6 Se 3.08-3.19
La4 0.8400 0.6600 0.0000  6 Se 3.08-3.19
In1 0.0000 0.0000 0.5000  4 Se 3.26
In2 0.5000 0.5000 0.5000  4 Se 3.26
Se1 0.1394 0.6394 0.5000  6 La 3.08-3.19, 2 In 3.26, 1 Se 3.33
Se2 0.3606 0.1394 0.5000  6 La 3.08-3.19, 2 In 3.26, 1 Se 3.33
Se3 0.6394 0.8606 0.5000  6 La 3.08-3.19, 2 In 3.26, 1 Se 3.33
Se4 0.8606 0.3606 0.5000  6 La 3.08-3.19, 2 In 3.26, 1 Se 3.33

Properties
The total magnetization is 0.00 μB per cell. Its space-group type is P4/mbm (127).

Most stable to least stable: *iii*, *i*, *ii*

*i*
Here is a relaxed structure of LaSm3In from the Alexandria database. Energies are from PBE.

a b c (Å): 5.0448 6.8438 10.0158
angles (deg): 90.00 90.00 90.00
Last column: nearest neighbours and their distance in Å.
Fractional positions:
La1 0.2500 0.2500 0.0658  7 Sm 3.60-3.69
La2 0.7500 0.7500 0.9342  7 Sm 3.60-3.69
Sm1 0.2500 0.0058 0.7458  2 In 3.23, 5 Sm 3.34-3.56, 3 La 3.60-3.61
Sm2 0.2500 0.2500 0.4344  4 In 3.20-3.49, 6 Sm 3.54-3.56
Sm3 0.2500 0.4942 0.7458  2 In 3.23, 5 Sm 3.34-3.56, 3 La 3.60-3.61
Sm4 0.7500 0.5058 0.2542  2 In 3.23, 5 Sm 3.34-3.56, 3 La 3.60-3.61
Sm5 0.7500 0.7500 0.5656  4 In 3.20-3.49, 6 Sm 3.54-3.56
Sm6 0.7500 0.9942 0.2542  2 In 3.23, 5 Sm 3.34-3.56, 3 La 3.60-3.61
In1 0.2500 0.7500 0.3683  8 Sm 3.20-3.49
In2 0.7500 0.2500 0.6317  8 Sm 3.20-3.49

Properties
The total magnetization is 0.01 μB per cell. Its space-group type is Pmmn (59).

*ii*
Here is a relaxed structure of LaSm3In from the Alexandria database. Energies are from PBE.

a b c (Å): 9.5538 9.5538 5.8336
angles (deg): 90.00 90.00 144.11
Last column: nearest neighbours and their distance in Å.
Fractional positions:
La1 0.1470 0.8530 0.7500  9 Sm 3.37-3.65, 1 In 3.68
La2 0.8530 0.1470 0.2500  9 Sm 3.37-3.65, 1 In 3.68
Sm1 0.0540 0.9460 0.2500  3 La 3.37-3.65, 2 In 3.43, 5 Sm 3.52-3.58
Sm2 0.2510 0.7490 0.2500  4 In 3.42-3.46, 4 La 3.48, 2 Sm 3.55-3.58
Sm3 0.4464 0.5536 0.2500  2 La 3.40, 3 In 3.41-3.71, 5 Sm 3.51-3.55
Sm4 0.5536 0.4464 0.7500  2 La 3.40, 3 In 3.41-3.71, 5 Sm 3.51-3.55
Sm5 0.7490 0.2510 0.7500  4 In 3.42-3.46, 4 La 3.48, 2 Sm 3.55-3.58
Sm6 0.9460 0.0540 0.7500  3 La 3.37-3.65, 2 In 3.43, 5 Sm 3.52-3.58
In1 0.3495 0.6505 0.7500  9 Sm 3.41-3.71, 1 La 3.68
In2 0.6505 0.3495 0.2500  9 Sm 3.41-3.71, 1 La 3.68

Properties
The total magnetization is 0.00 μB per cell. Its space-group type is Cmcm (63).

Most stable to least stable: *ii*, *i*

*i*
Here is a relaxed structure of LaSmIn4 from the Alexandria database. Energies are from PBE.

a b c (Å): 6.4224 6.4224 6.4224
angles (deg): 136.35 107.64 88.48
Last column: nearest neighbours and their distance in Å.
Fractional positions:
La1 0.0000 0.0000 0.0000  10 In 3.43-3.47
Sm1 0.6165 0.1165 0.5000  10 In 3.39-3.49
In1 0.0091 0.7143 0.2948  4 In 2.91-3.11
In2 0.1951 0.3957 0.7994  4 In 2.91-3.04
In3 0.4195 0.7143 0.7052  4 In 2.91-3.11
In4 0.5963 0.3957 0.2006  4 In 2.91-3.04

Properties
The total magnetization is 0.00 μB per cell. Its space-group type is Imm2 (44).

*ii*
Here is a relaxed structure of LaSmIn4 from the Alexandria database. Energies are from PBE.

a b c (Å): 6.1093 6.1093 6.1093
angles (deg): 60.00 60.00 60.00
Last column: nearest neighbours and their distance in Å.
Fractional positions:
La1 0.0000 0.0000 0.0000  12 In 3.58, 4 Sm 3.74
Sm1 0.2500 0.2500 0.2500  12 In 3.58, 4 La 3.74
In1 0.1251 0.6250 0.6250  6 In 3.05-3.06
In2 0.6250 0.1251 0.6250  6 In 3.05-3.06
In3 0.6250 0.6250 0.1251  6 In 3.05-3.06
In4 0.6250 0.6250 0.6250  6 In 3.05-3.06

Properties
The total magnetization is 0.00 μB per cell. Its space-group type is F-43m (216).

Most stable to least stable: *i*, *ii*

*i*
Here is a relaxed structure of LaSm4In2 from the Alexandria database. Energies are from PBE.

a b c (Å): 6.3707 11.2003 6.8352
angles (deg): 90.00 110.72 90.00
Last column: nearest neighbours and their distance in Å.
Fractional positions:
La1 0.0000 0.0000 0.0000  2 In 3.43, 2 Sm 3.72
La2 0.0000 0.5000 0.5000  2 In 3.43, 2 Sm 3.72
Sm1 0.0015 0.1679 0.4994  2 In 3.26-3.27, 2 Sm 3.42-3.43
Sm2 0.0015 0.3321 0.9994  2 In 3.26-3.27, 2 Sm 3.42-3.43
Sm3 0.4983 0.7200 0.4998  4 In 3.19-3.46, 4 Sm 3.42-3.48
Sm4 0.4983 0.7800 0.9998  4 In 3.19-3.46, 4 Sm 3.42-3.48
Sm5 0.5017 0.2200 0.0002  4 In 3.19-3.46, 4 Sm 3.42-3.48
Sm6 0.5017 0.2800 0.5002  4 In 3.19-3.46, 4 Sm 3.42-3.48
Sm7 0.9985 0.6679 0.0006  2 In 3.26-3.27, 2 Sm 3.42-3.43
Sm8 0.9985 0.8321 0.5006  2 In 3.26-3.27, 2 Sm 3.42-3.43
In1 0.4446 0.9997 0.6876  1 In 2.89, 2 Sm 3.19-3.20
In2 0.4446 0.5003 0.1876  1 In 2.89, 2 Sm 3.19-3.20
In3 0.5554 0.0003 0.3124  1 In 2.89, 2 Sm 3.19-3.20
In4 0.5554 0.4997 0.8124  1 In 2.89, 2 Sm 3.19-3.20

Properties
The total magnetization is 0.00 μB per cell. Its space-group type is P2_1/c (14).

*ii*
Here is a relaxed structure of LaSm4In2 from the Alexandria database. Energies are from PBE.

a b c (Å): 8.5706 6.6718 8.5771
angles (deg): 90.00 117.19 90.00
Last column: nearest neighbours and their distance in Å.
Fractional positions:
La1 0.1912 0.2500 0.2555  4 Sm 3.25-3.62, 4 In 3.33-3.50
La2 0.8088 0.7500 0.7445  4 Sm 3.25-3.62, 4 In 3.33-3.50
Sm1 0.0407 0.2500 0.5413  1 La 3.25, 5 Sm 3.26-3.42, 2 In 3.28-3.33
Sm2 0.2663 0.5073 0.9246  4 Sm 3.24-3.60, 4 In 3.34-3.57, 1 La 3.62
Sm3 0.2663 0.9927 0.9246  4 Sm 3.24-3.60, 4 In 3.34-3.57, 1 La 3.62
Sm4 0.3820 0.7500 0.5923  1 Sm 3.26, 1 La 3.27, 4 In 3.30-3.47
Sm5 0.6180 0.2500 0.4077  1 Sm 3.26, 1 La 3.27, 4 In 3.30-3.47
Sm6 0.7337 0.0073 0.0754  4 Sm 3.24-3.60, 4 In 3.34-3.57, 1 La 3.62
Sm7 0.7337 0.4927 0.0754  4 Sm 3.24-3.60, 4 In 3.34-3.57, 1 La 3.62
Sm8 0.9593 0.7500 0.4587  1 La 3.25, 5 Sm 3.26-3.42, 2 In 3.28-3.33
In1 0.1042 0.7500 0.1651  1 In 3.24, 6 Sm 3.28-3.38, 3 La 3.33-3.43
In2 0.4761 0.2500 0.7061  1 In 3.24, 8 Sm 3.30-3.57, 1 La 3.50
In3 0.5239 0.7500 0.2939  1 In 3.24, 8 Sm 3.30-3.57, 1 La 3.50
In4 0.8958 0.2500 0.8349  1 In 3.24, 6 Sm 3.28-3.38, 3 La 3.33-3.43

Properties
The total magnetization is 0.00 μB per cell. Its space-group type is P2_1/m (11).

Most stable to least stable: *ii*, *i*

*i*
Here is a relaxed structure of LaSmIn from the Alexandria database. Energies are from PBE.

a b c (Å): 5.3473 5.3473 3.7609
angles (deg): 90.00 90.00 120.00
Last column: nearest neighbours and their distance in Å.
Fractional positions:
La1 0.0000 0.0000 0.0000  3 In 3.36, 3 Sm 3.45, 2 La 3.76
Sm1 0.3333 0.6667 0.5925  3 In 3.21, 3 La 3.45
In1 0.6667 0.3333 0.3543  3 Sm 3.21, 3 La 3.36

Properties
The total magnetization is 0.00 μB per cell. Its space-group type is P3m1 (156).

*ii*
Here is a relaxed structure of LaSmIn from the Alexandria database. Energies are from PBE.

a b c (Å): 6.1339 6.1339 6.1339
angles (deg): 140.58 140.58 56.97
Last column: nearest neighbours and their distance in Å.
Fractional positions:
La1 0.0000 0.0000 0.0000  5 Sm 3.34-3.58, 5 In 3.41-3.63
Sm1 0.6907 0.6907 0.0000  4 In 3.32, 5 La 3.34-3.58
In1 0.3367 0.3367 0.0000  4 Sm 3.32, 5 La 3.41-3.63

Properties
The total magnetization is 0.01 μB per cell. Its space-group type is I4mm (107).

Most stable to least stable: *ii*, *i*

*i*
Here is a relaxed structure of LaSmIn from the Alexandria database. Energies are from PBE.

a b c (Å): 4.7196 4.7196 8.7366
angles (deg): 90.00 90.00 90.00
Last column: nearest neighbours and their distance in Å.
Fractional positions:
La1 0.2500 0.7500 0.0000  4 La 3.34, 4 In 3.38
La2 0.7500 0.2500 0.0000  4 La 3.34, 4 In 3.38
Sm1 0.2500 0.2500 0.3620  5 In 3.15-3.42
Sm2 0.7500 0.7500 0.6380  5 In 3.15-3.42
In1 0.2500 0.2500 0.7228  5 Sm 3.15-3.42, 4 La 3.38
In2 0.7500 0.7500 0.2772  5 Sm 3.15-3.42, 4 La 3.38

Properties
The total magnetization is 1.00 μB per cell. Its space-group type is P4/nmm (129).

*ii*
Here is a relaxed structure of LaSmIn from the Alexandria database. Energies are from PBE.

a b c (Å): 4.8406 4.8406 8.5224
angles (deg): 90.00 90.00 90.00
Last column: nearest neighbours and their distance in Å.
Fractional positions:
La1 0.2500 0.2500 0.1474  5 In 3.28-3.51
La2 0.7500 0.7500 0.8526  5 In 3.28-3.51
Sm1 0.2500 0.7500 0.5000  4 In 3.30, 4 Sm 3.42
Sm2 0.7500 0.2500 0.5000  4 In 3.30, 4 Sm 3.42
In1 0.2500 0.2500 0.7625  5 La 3.28-3.51, 4 Sm 3.30
In2 0.7500 0.7500 0.2375  5 La 3.28-3.51, 4 Sm 3.30

Properties
The total magnetization is 1.30 μB per cell. Its space-group type is P4/nmm (129).

Most stable to least stable: *ii*, *i*